A.
Here is HfZr2TaO after structural relaxation from Alexandria. Energies are from GGA-PBE.

a b c (Å): 4.543 4.543 4.370
angles (deg): 90.00 90.00 90.00
Sites, in units of the cell vectors:
O1 0.000 0.000 0.000
Zr1 0.500 0.000 0.000
Zr2 0.000 0.500 0.000
Hf1 0.000 0.000 0.500
Ta1 0.500 0.500 0.500

Properties
* space-group type: P4/mmm
* DOS at the Fermi energy: 3.51 states/eV per cell
* theoretical density: 10.274 g/cm3
* spin magnetization: 0.000 μB/atom

B.
Here is HfZr2TaO after structural relaxation from Alexandria. Energies are from GGA-PBE.

a b c (Å): 4.615 4.615 4.224
angles (deg): 90.00 90.00 90.00
Sites, in units of the cell vectors:
Hf1 0.500 0.500 0.500
Zr1 0.500 0.000 0.000
Ta1 0.000 0.000 0.500
O1 0.000 0.000 0.000
Zr2 0.000 0.500 0.000

Properties
* space-group type: P4/mmm
* DOS at the Fermi energy: 3.78 states/eV per cell
* theoretical density: 10.298 g/cm3
* spin magnetization: 0.000 μB/atom

Here is how they stack up, most stable first: A, B.